(1)
Density functional theory data (PBE) for crystalline Sr4Th3MnN8 at its relaxed geometry.

Output
ρ: 7.22 g/cm³
SG: C2/m
E_tot: -7.500 eV per atom

Cell lengths 7.034, 7.211, 7.412 Å; angles 118.25, 118.33, 90.00 degrees
Each line ends with the local moment (μB).
Fractional coordinates of all 16 atoms:
Sr: 0.500 0.000 0.000  0.01
Sr: 0.500 0.000 0.500  0.00
Sr: 0.000 0.000 0.000  -0.01
Sr: 0.000 0.000 0.500  0.00
Th: 0.500 0.500 0.000  -0.02
Th: 0.500 0.500 0.500  0.01
Th: 0.000 0.500 0.500  0.01
Mn: 0.000 0.500 0.000  3.46
N: 0.213 0.692 0.976  -0.10
N: 0.276 0.746 0.552  0.04
N: 0.269 0.289 0.538  -0.01
N: 0.763 0.692 0.976  -0.10
N: 0.237 0.308 0.024  -0.10
N: 0.731 0.711 0.462  -0.01
N: 0.724 0.254 0.448  0.04
N: 0.787 0.308 0.024  -0.10


(2)
Density functional theory data (PBE) for crystalline Pm2HBr at its relaxed geometry.

Output
ρ: 6.88 g/cm³
SG: R-3m
E_tot: -4.404 eV per atom

Cell lengths 3.724, 3.724, 7.757 Å; angles 76.11, 76.11, 60.00 degrees
Fractional coordinates of all 4 atoms:
H: 0.000 0.000 0.000
Br: 0.500 0.500 0.500
Pm: 0.729 0.729 0.813
Pm: 0.271 0.271 0.187


(3)
Density functional theory data (PBE) for crystalline CsTl2ZnPd at its relaxed geometry.

Output
ρ: 7.60 g/cm³
ΔE_f: -0.4 eV/f.u.
SG: P4/mmm
E_tot: -2.482 eV per atom

Cell lengths 5.483, 5.483, 5.188 Å; angles 90.00, 90.00, 90.00 degrees
Fractional coordinates of all 5 atoms:
Cs: 0.500 0.500 0.500
Tl: 0.000 0.500 0.000
Tl: 0.500 0.000 0.000
Zn: 0.000 0.000 0.500
Pd: 0.000 0.000 0.000


(4)
Density functional theory data (PBE) for crystalline AcPr2Ir at its relaxed geometry.

Output
ρ: 9.03 g/cm³
ΔE_f: -0.9 eV/f.u.
SG: P4/mmm
E_tot: -5.867 eV per atom
ΔE to the lowest computed polymorph: 0.189 eV per atom

Cell lengths 3.692, 3.692, 9.457 Å; angles 90.00, 90.00, 90.00 degrees
Fractional coordinates of all 4 atoms:
Pr: 0.000 0.000 0.826
Pr: 0.000 0.000 0.174
Ac: 0.500 0.500 0.500
Ir: 0.500 0.500 0.000


(5)
Density functional theory data (PBE) for crystalline In2MoCl at its relaxed geometry.

Output
ρ: 7.34 g/cm³
SG: P2/m
E_tot: -4.132 eV per atom
ΔE to the lowest computed polymorph: 0.326 eV per atom

Cell lengths 4.772, 3.083, 6.351 Å; angles 60.96, 90.00, 90.00 degrees
Fractional coordinates of all 4 atoms:
Cl: 0.500 0.750 0.750
In: 0.000 0.006 0.002
In: 0.000 0.494 0.498
Mo: 0.500 0.250 0.250


(6)
Density functional theory data (PBE) for crystalline Sm6Dy2HoTh3 at its relaxed geometry.

Output
ρ: 8.80 g/cm³
ΔE_f: 0.4 eV/f.u.
SG: C2/m
E_tot: -5.328 eV per atom

Cell lengths 6.224, 6.224, 11.921 Å; angles 95.00, 95.00, 119.94 degrees
Fractional coordinates of all 12 atoms:
Sm: 0.916 0.583 0.747
Sm: 0.751 0.751 0.253
Sm: 0.084 0.417 0.253
Sm: 0.583 0.916 0.747
Sm: 0.249 0.249 0.747
Sm: 0.417 0.084 0.253
Dy: 0.333 0.667 0.000
Dy: 0.667 0.333 0.000
Ho: 0.000 0.000 0.000
Th: 0.167 0.833 0.500
Th: 0.833 0.167 0.500
Th: 0.500 0.500 0.500


(7)
Density functional theory data (PBE) for crystalline CdTeRu2 at its relaxed geometry.

Output
ρ: 10.20 g/cm³
SG: Cm
E_tot: -5.309 eV per atom
ΔE to the lowest computed polymorph: 0.096 eV per atom

Cell lengths 5.293, 5.293, 5.067 Å; angles 66.48, 66.48, 33.91 degrees
Fractional coordinates of all 4 atoms:
Cd: 0.272 0.272 0.172
Ru: 0.021 0.021 0.094
Ru: 0.732 0.732 0.687
Te: 0.475 0.475 0.547


(8)
Density functional theory data (PBE) for crystalline BeCrPt3 at its relaxed geometry.

Output
ρ: 14.30 g/cm³
ΔE_f: -0.2 eV/f.u.
SG: Pm-3m
E_tot: -6.330 eV per atom
ΔE to the lowest computed polymorph: 0.000 eV per atom

Cell lengths 4.218, 4.218, 4.218 Å; angles 90.00, 90.00, 90.00 degrees
Each line ends with the local moment (μB).
Fractional coordinates of all 5 atoms:
Cr: 0.500 0.500 0.500  3.52
Pt: 0.000 0.500 0.000  0.08
Pt: 0.000 0.000 0.500  0.01
Pt: 0.500 0.000 0.000  0.11
Be: 0.000 0.000 0.000  -0.02


(9)
Density functional theory data (PBE) for crystalline TeMo2PRh at its relaxed geometry.

Output
ρ: 7.56 g/cm³
SG: P4/mmm
E_tot: -6.456 eV per atom

Cell lengths 4.423, 5.090, 4.423 Å; angles 90.00, 90.00, 90.00 degrees
Fractional coordinates of all 5 atoms:
P: 0.000 0.000 0.000
Mo: 0.000 0.000 0.500
Mo: 0.500 0.000 0.000
Te: 0.000 0.500 0.000
Rh: 0.500 0.500 0.500


(10)
Density functional theory data (PBE) for crystalline KCa2Cu at its relaxed geometry.

Output
ρ: 2.09 g/cm³
ΔE_f: 0.2 eV/f.u.
SG: P2/m
E_tot: -2.253 eV per atom
ΔE to the lowest computed polymorph: 0.000 eV per atom

Cell lengths 3.707, 3.706, 11.212 Å; angles 70.35, 90.00, 90.00 degrees
Fractional coordinates of all 4 atoms:
Ca: 0.000 0.911 0.090
Ca: 0.000 0.589 0.410
Cu: 0.500 0.250 0.250
K: 0.500 0.750 0.750


(11)
Density functional theory data (PBE) for crystalline SmCdAs2Pd5 at its relaxed geometry.

Output
ρ: 9.28 g/cm³
ΔE_f: -4.7 eV/f.u.
SG: P4/mmm
E_tot: -5.063 eV per atom

Cell lengths 4.662, 4.662, 7.776 Å; angles 90.00, 90.00, 90.00 degrees
Fractional coordinates of all 9 atoms:
Sm: 0.000 0.000 0.500
Cd: 0.000 0.000 0.000
As: 0.500 0.500 0.162
As: 0.500 0.500 0.838
Pd: 0.000 0.500 0.262
Pd: 0.500 0.000 0.262
Pd: 0.000 0.500 0.738
Pd: 0.500 0.000 0.738
Pd: 0.500 0.500 0.500


(12)
Density functional theory data (PBE) for crystalline PmPr5Sm2Er at its relaxed geometry.

Output
ρ: 6.87 g/cm³
ΔE_f: 2.6 eV/f.u.
SG: I4/mcm
E_tot: -4.455 eV per atom

Cell lengths 8.913, 8.913, 10.200 Å; angles 115.91, 115.91, 90.00 degrees
Fractional coordinates of all 18 atoms:
Pm: 0.250 0.250 0.500
Pm: 0.750 0.750 0.500
Pr: 0.930 0.430 0.279
Pr: 0.650 0.150 0.721
Pr: 0.070 0.570 0.721
Pr: 0.150 0.070 0.721
Pr: 0.570 0.650 0.721
Pr: 0.850 0.930 0.279
Pr: 0.430 0.350 0.279
Pr: 0.350 0.850 0.279
Pr: 0.500 0.500 0.000
Pr: 0.000 0.000 0.000
Sm: 0.117 0.383 0.000
Sm: 0.617 0.117 0.000
Sm: 0.383 0.883 0.000
Sm: 0.883 0.617 0.000
Er: 0.250 0.750 0.500
Er: 0.750 0.250 0.500


Number 1: size of the total moment 3.2 μB/cell. Number 2: size of the total moment 0.0 μB/cell. Number 3: size of the total moment 0.0 μB/cell. Number 4: size of the total moment 0.0 μB/cell. Number 5: size of the total moment 0.0 μB/cell. Number 6: size of the total moment 0.0 μB/cell. Number 7: size of the total moment 0.0 μB/cell. Number 8: size of the total moment 4.0 μB/cell. Number 9: size of the total moment 0.0 μB/cell. Number 10: size of the total moment 0.0 μB/cell. Number 11: size of the total moment 0.0 μB/cell. Number 12: size of the total moment 0.0 μB/cell.